PmMg4Rh after structural relaxation, computed with PBE.

Output
- Uncorrected energy: -40.71 eV/cell

Cell: 8.6712 4.2456 7.4092 Å, 90.00 90.00 90.00°
Space group Pmma (No. 51)
Symmetry-distinct sites (fractional):
Pm1 0.2500 0.0000 0.0937 [2 per cell]
Mg1 0.0000 0.0000 0.5000 [2 per cell]
Mg2 0.0627 0.5000 0.8025 [4 per cell]
Mg3 0.2500 0.5000 0.4599 [2 per cell]
Rh1 0.2500 0.0000 0.7141 [2 per cell]


SmIn2Ni9 after structural relaxation, computed with PBE.

Output
- Uncorrected energy: -129.59 eV/cell

Cell: 8.2753 8.2753 4.8615 Å, 90.00 90.00 90.00°
Space group P4/mbm (No. 127)
Symmetry-distinct sites (fractional):
Sm1 0.0000 0.0000 0.0000 [2 per cell]
In1 0.1246 0.3754 0.0000 [4 per cell]
Ni1 0.0000 0.5000 0.5000 [2 per cell]
Ni2 0.0649 0.2076 0.5000 [8 per cell]
Ni3 0.1762 0.6762 0.2494 [8 per cell]


MgScAl2 after structural relaxation, computed with PBE.

Output
- Uncorrected energy: -16.26 eV/cell

Cell: 3.0248 4.2342 6.0330 Å, 90.00 90.18 90.00°
Space group P2/m (No. 10)
Symmetry-distinct sites (fractional):
Mg1 0.0000 0.0000 0.0000 [1 per cell]
Sc1 0.0000 0.0000 0.5000 [1 per cell]
Al1 0.4995 0.5000 0.2565 [2 per cell]


> Which value of uncorrected energy does entry 2 give?

-129.59 eV/cell